1.
The following is a DFT calculation (GGA-PBE) of a relaxed structure of CrFe3Co2. Values from VASP.

Values from the calculation:
Symmetry: I4_1/amd, No. 141
ΔH_f (0 K) in eV/f.u.: 0.84
E in eV/atom: -8.06

The structure in Quantum ESPRESSO input format:
```
&SYSTEM
  ibrav = 0, nat = 24, ntyp = 3
/
ATOMIC_SPECIES
Cr 52.00 Cr.upf
Fe 55.84 Fe.upf
Co 58.93 Co.upf
ATOMIC_POSITIONS crystal
Cr 0.317 0.317 0.635
Cr 0.683 0.683 0.365
Cr 0.567 0.067 0.135
Cr 0.933 0.433 0.865
Fe 0.311 0.689 0.000
Fe 0.125 0.875 0.250
Fe 0.125 0.375 0.250
Fe 0.689 0.689 0.000
Fe 0.689 0.311 0.000
Fe 0.939 0.439 0.500
Fe 0.625 0.875 0.750
Fe 0.125 0.875 0.750
Fe 0.561 0.061 0.500
Fe 0.561 0.439 0.500
Fe 0.311 0.311 0.000
Fe 0.939 0.061 0.500
Co 0.912 0.739 0.823
Co 0.338 0.665 0.677
Co 0.261 0.088 0.177
Co 0.335 0.662 0.323
Co 0.915 0.088 0.177
Co 0.989 0.662 0.323
Co 0.338 0.011 0.677
Co 0.912 0.085 0.823
CELL_PARAMETERS angstrom
-3.878 6.077 1.897
-5.543 -2.130 -4.505
2.528 -4.591 5.227
```



2.
The following is a DFT calculation (GGA-PBE) of a relaxed structure of CrFe3Co. Values from VASP.

Values from the calculation:
Offset from the most stable computed form in eV/atom: 0.979
Symmetry: Pm-3m, No. 221
ΔH_f (0 K) in eV/f.u.: 5.17
E in eV/atom: -7.39

The structure in Quantum ESPRESSO input format:
```
&SYSTEM
  ibrav = 0, nat = 5, ntyp = 3
/
ATOMIC_SPECIES
Cr 52.00 Cr.upf
Co 58.93 Co.upf
Fe 55.84 Fe.upf
ATOMIC_POSITIONS crystal
Cr 0.500 0.500 0.500
Co 0.000 0.000 0.000
Fe 0.000 0.500 0.000
Fe 0.000 0.000 0.500
Fe 0.500 0.000 0.000
CELL_PARAMETERS angstrom
-1.215 -2.814 -3.012
3.294 1.225 -2.474
2.478 -3.008 1.811
```



3.
The following is a DFT calculation (GGA-PBE) of a relaxed structure of Cr2FeCo2. Values from VASP.

Values from the calculation:
Offset from the most stable computed form in eV/atom: 0.004
Symmetry: P4/mbm, No. 127
ΔH_f (0 K) in eV/f.u.: 1.31
E in eV/atom: -8.12

The structure in Quantum ESPRESSO input format:
```
&SYSTEM
  ibrav = 0, nat = 10, ntyp = 3
/
ATOMIC_SPECIES
Cr 52.00 Cr.upf
Co 58.93 Co.upf
Fe 55.84 Fe.upf
ATOMIC_POSITIONS crystal
Cr 0.173 0.673 0.500
Cr 0.673 0.827 0.500
Cr 0.827 0.327 0.500
Cr 0.327 0.173 0.500
Co 0.374 0.874 0.000
Co 0.874 0.626 0.000
Co 0.626 0.126 0.000
Co 0.126 0.374 0.000
Fe 0.000 0.000 0.000
Fe 0.500 0.500 0.000
CELL_PARAMETERS angstrom
-2.311 4.778 4.005
-6.234 -1.819 -1.427
0.027 -1.615 1.942
```